(1)
AgSnP2O | Alexandria | PBE | relaxed; ΔE to the lowest computed polymorph = 136 meV per atom; formation energy from raw total energies = 680 meV/atom
1.0
-0.193 -4.557 1.857
4.879 0.066 0.668
-0.520 1.509 3.647
O P Sn Ag
1 2 1 1
direct
0.000 0.000 0.500 O
0.000 0.500 0.000 P
0.500 0.000 0.000 P
0.500 0.500 0.500 Sn
0.000 0.000 0.000 Ag



(2)
Tm5ZrZn4 | Alexandria | PBE | relaxed; ΔH_f (0 K) = -265 meV/atom
1.0
3.460 0.000 0.000
0.000 3.460 0.000
0.000 0.000 18.998
Tm Zr Zn
5 1 4
direct
0.500 0.500 0.118 Tm
0.500 0.500 0.312 Tm
0.500 0.500 0.500 Tm
0.500 0.500 0.688 Tm
0.500 0.500 0.882 Tm
0.000 0.000 0.000 Zr
0.000 0.000 0.216 Zn
0.000 0.000 0.405 Zn
0.000 0.000 0.595 Zn
0.000 0.000 0.784 Zn



(3)
SiPbIO2 | Alexandria | PBE | relaxed; ΔE to the lowest computed polymorph = 523 meV per atom; formation energy from raw total energies = 251 meV/atom
1.0
-2.261 -1.081 -3.553
-1.869 -3.263 2.182
-4.656 3.863 1.788
Pb I Si O
1 1 1 2
direct
0.000 0.000 0.000 Pb
0.000 0.000 0.500 I
0.500 0.500 0.500 Si
0.000 0.500 0.000 O
0.500 0.000 0.000 O



Total DFT energy (no corrections), record by record: -19.2 -38.7 -19.3 eV per cell